[1]
Entry from Alexandria: an optimized crystal structure of FeSnOs (PBE).

Geometry as POSCAR:
```
FeSnOs
1.0
-0.104 3.030 0.332
-2.983 0.205 -2.799
-5.643 -3.916 5.727
Os Sn Fe
2 2 2
Direct
0.162 0.000 0.507
0.162 0.500 0.007
0.391 0.000 0.237
0.391 0.500 0.737
0.621 0.000 0.967
0.621 0.500 0.467
```

Output
The calculation puts the final energy at -7.421 eV/atom. The value obtained for the formation energy is 0.48 eV per atom. The density of states at the Fermi level is 2.74 states/eV/f.u.

=====

[2]
Entry from Alexandria: an optimized crystal structure of Pm3NiIr (PBE).

Geometry as POSCAR:
```
Pm3NiIr
1.0
4.003 0.000 0.001
0.000 6.583 0.006
-0.001 -0.002 9.515
Pm Ni Ir
6 2 2
Direct
0.250 0.733 0.560
0.250 0.226 0.750
0.250 0.733 0.940
0.750 0.267 0.440
0.750 0.267 0.060
0.750 0.774 0.250
0.250 0.074 0.250
0.750 0.926 0.750
0.750 0.535 0.750
0.250 0.465 0.250
```

Output
Its excess energy over the best structure of this formula in the dataset is 0.0 meV/atom. The calculation puts the final energy at -6.202 eV/atom. The value obtained for the formation energy is -0.42 eV per atom. The density of states at the Fermi level is 4.72 states/eV/f.u.

=====

[3]
Entry from Alexandria: an optimized crystal structure of Li3La2Hg4 (PBE).

Geometry as POSCAR:
```
Li3La2Hg4
1.0
5.179 -0.048 0.156
2.561 4.521 0.646
0.277 0.543 9.294
Li La Hg
3 2 4
Direct
0.327 0.241 0.413
0.000 0.000 0.000
0.673 0.759 0.587
0.322 0.416 0.759
0.678 0.584 0.241
0.665 0.711 0.894
0.025 0.868 0.369
0.975 0.132 0.631
0.335 0.289 0.106
```

Output
The calculation puts the final energy at -2.264 eV/atom. The value obtained for the formation energy is -0.40 eV per atom. The density of states at the Fermi level is 5.23 states/eV/f.u.

=====

[4]
Entry from Alexandria: an optimized crystal structure of PrThGaPd (PBE).

Geometry as POSCAR:
```
PrThGaPd
1.0
5.210 0.000 0.000
2.605 4.512 0.000
2.605 1.504 4.254
Pr Ga Pd Th
1 1 1 1
Direct
0.500 0.500 0.500
0.250 0.250 0.250
0.750 0.750 0.750
0.000 0.000 0.000
```

Output
The calculation puts the final energy at -5.604 eV/atom. The value obtained for the formation energy is -0.50 eV per atom. The density of states at the Fermi level is 4.84 states/eV/f.u.

=====

[5]
Entry from Alexandria: an optimized crystal structure of PmGePd (PBE).

Geometry as POSCAR:
```
PmGePd
1.0
-0.982 5.834 -0.296
-2.411 -0.713 -6.056
-5.713 -3.383 2.673
Pm Ge Pd
4 4 4
Direct
0.324 0.844 0.115
0.824 0.656 0.615
0.676 0.156 0.885
0.176 0.344 0.385
0.577 0.419 0.228
0.423 0.581 0.772
0.077 0.081 0.728
0.923 0.919 0.272
0.176 0.386 0.940
0.824 0.614 0.060
0.324 0.886 0.560
0.676 0.114 0.440
```

Output
Its excess energy over the best structure of this formula in the dataset is 151.9 meV/atom. The calculation puts the final energy at -5.662 eV/atom. The value obtained for the formation energy is -0.81 eV per atom. The density of states at the Fermi level is 1.88 states/eV/f.u.

=====

[6]
Entry from Alexandria: an optimized crystal structure of Ce4TcI5 (PBE).

Geometry as POSCAR:
```
Ce4TcI5
1.0
4.249 0.000 0.000
0.000 9.187 -0.456
-2.124 -1.779 9.579
Ce Tc I
4 1 5
Direct
0.359 0.928 0.719
0.001 0.790 0.001
0.641 0.072 0.281
0.999 0.210 0.999
0.500 0.000 0.000
0.832 0.657 0.665
0.827 0.173 0.654
0.173 0.827 0.346
0.500 0.500 0.000
0.168 0.343 0.335
```

Output
Its formation energy without anion corrections is -92 kJ/mol of atoms. The calculation puts the final energy at -5.142 eV/atom. The density of states at the Fermi level is 25.55 states/eV/f.u.

=====

[7]
Entry from Alexandria: an optimized crystal structure of AcCd3F8 (PBE).

Geometry as POSCAR:
```
AcCd3F8
1.0
-5.410 -0.827 1.736
1.853 -0.859 5.366
-0.513 5.617 1.077
Ac Cd F
1 3 8
Direct
0.000 0.000 0.000
0.500 0.500 0.000
0.500 0.000 0.500
0.000 0.500 0.500
0.253 0.253 0.747
0.253 0.747 0.253
0.747 0.253 0.253
0.747 0.747 0.747
0.747 0.747 0.253
0.747 0.253 0.747
0.253 0.747 0.747
0.253 0.253 0.253
```

Output
Its formation energy without anion corrections is -258 kJ/mol of atoms. The calculation puts the final energy at -4.495 eV/atom. The density of states at the Fermi level is 0.75 states/eV/f.u.

=====

[8]
Entry from Alexandria: an optimized crystal structure of Sb3OsBr (PBE).

Geometry as POSCAR:
```
Sb3OsBr
1.0
-1.119 -3.691 -3.600
-3.271 -2.340 3.416
-3.986 2.956 -1.791
Sb Os Br
3 1 1
Direct
0.000 0.500 0.000
0.000 0.000 0.500
0.500 0.000 0.000
0.500 0.500 0.500
0.000 0.000 0.000
```

Output
Its excess energy over the best structure of this formula in the dataset is 1463.0 meV/atom. Its formation energy without anion corrections is 191 kJ/mol of atoms. The calculation puts the final energy at -3.079 eV/atom. The density of states at the Fermi level is 5.62 states/eV/f.u.

=====

[9]
Entry from Alexandria: an optimized crystal structure of GaBSe2 (PBE).

Geometry as POSCAR:
```
GaBSe2
1.0
3.478 0.000 0.000
0.000 7.429 0.000
-1.677 -3.392 7.373
B Ga Se
2 2 4
Direct
0.841 0.662 0.885
0.419 0.075 0.048
0.287 0.976 0.772
0.874 0.418 0.953
0.472 0.378 0.157
0.951 0.945 0.115
0.728 0.111 0.650
0.258 0.617 0.713
```

Output
Its excess energy over the best structure of this formula in the dataset is 0.0 meV/atom. Its formation energy without anion corrections is -21 kJ/mol of atoms. The calculation puts the final energy at -4.390 eV/atom.

=====

[10]
Entry from Alexandria: an optimized crystal structure of Cs3ZnB (PBE).

Geometry as POSCAR:
```
Cs3ZnB
1.0
6.976 0.000 0.000
0.000 6.976 0.000
0.000 0.000 6.976
Cs Zn B
3 1 1
Direct
0.000 0.500 0.000
0.000 0.000 0.500
0.500 0.000 0.000
0.000 0.000 0.000
0.500 0.500 0.500
```

Output
The calculation puts the final energy at -0.978 eV/atom. The value obtained for the formation energy is 1.12 eV per atom. The density of states at the Fermi level is 7.56 states/eV/f.u.

=====

[11]
Entry from Alexandria: an optimized crystal structure of VS2I (PBE).

Geometry as POSCAR:
```
VS2I
1.0
6.754 0.000 0.000
0.000 6.754 0.000
3.377 3.377 4.881
I S V
2 4 2
Direct
0.000 0.000 0.000
0.750 0.250 0.500
0.476 0.125 0.250
0.274 0.625 0.250
0.375 0.524 0.750
0.875 0.726 0.750
0.500 0.500 0.000
0.250 0.750 0.500
```

Output
Its excess energy over the best structure of this formula in the dataset is 327.9 meV/atom. Its formation energy without anion corrections is -22 kJ/mol of atoms. The calculation puts the final energy at -4.954 eV/atom. The density of states at the Fermi level is 4.15 states/eV/f.u.

=====

[12]
Entry from Alexandria: an optimized crystal structure of SrAcTeAs (PBE).

Geometry as POSCAR:
```
SrAcTeAs
1.0
-2.248 -3.848 -1.275
1.866 -2.837 -3.155
3.386 -6.130 4.108
Sr Ac Te As
1 1 1 1
Direct
0.507 0.507 0.479
0.990 0.990 0.030
0.750 0.750 0.750
0.253 0.253 0.242
```

Output
Its formation energy without anion corrections is -151 kJ/mol of atoms. The calculation puts the final energy at -4.960 eV/atom.

=====

- Look up the final energy of the fifth one.
  -5.662 eV/atom

=====

- What is the final energy in the sixth record?
  -5.142 eV/atom

=====

- Which value of final energy does entry 6 give?
  -5.142 eV/atom

=====

- Which of these has the highest final energy?
  Cs3ZnB